Entry 1:
# LiAc2Cd6, relaxed, DFT PBE
data_LiAc2Cd6
_symmetry_space_group_name_H-M 'C 1 2/m 1'
_symmetry_Int_Tables_number 12
_cell_length_a 11.907
_cell_length_b 7.193
_cell_length_c 5.688
_cell_angle_alpha 90.00
_cell_angle_beta 97.85
_cell_angle_gamma 90.00
loop_
_symmetry_equiv_pos_as_xyz
'x,y,z'
'-x,-y,-z'
'-x,y,-z'
'x,-y,z'
'x+1/2,y+1/2,z'
'-x+1/2,-y+1/2,-z'
'-x+1/2,y+1/2,-z'
'x+1/2,-y+1/2,z'
loop_
_atom_site_label
_atom_site_type_symbol
_atom_site_fract_x
_atom_site_fract_y
_atom_site_fract_z
Li1 Li 0.000 0.000 0.000
Ac1 Ac 0.189 0.500 0.803
Cd1 Cd 0.076 0.292 0.275
Cd2 Cd 0.142 0.000 0.651
# energy of formation: -0.26 eV per atom
# ΔE to the lowest computed polymorph: 0.0 meV/atom
# V: 26.81 A^3/atom
# density: 7.814 g cm⁻³

=====

Entry 2:
# Li3Ac2Cd2, relaxed, DFT PBE
data_Li3Ac2Cd2
_symmetry_space_group_name_H-M 'C 1 2/m 1'
_symmetry_Int_Tables_number 12
_cell_length_a 11.718
_cell_length_b 4.928
_cell_length_c 7.332
_cell_angle_alpha 90.00
_cell_angle_beta 113.48
_cell_angle_gamma 90.00
loop_
_symmetry_equiv_pos_as_xyz
'x,y,z'
'-x,-y,-z'
'-x,y,-z'
'x,-y,z'
'x+1/2,y+1/2,z'
'-x+1/2,-y+1/2,-z'
'-x+1/2,y+1/2,-z'
'x+1/2,-y+1/2,z'
loop_
_atom_site_label
_atom_site_type_symbol
_atom_site_fract_x
_atom_site_fract_y
_atom_site_fract_z
Li1 Li 0.000 0.000 0.000
Li2 Li 0.118 0.000 0.426
Ac1 Ac 0.147 0.500 0.769
Cd1 Cd 0.142 0.500 0.235
# energy of formation: -0.16 eV per atom
# V: 27.74 A^3/atom
# density: 5.983 g cm⁻³

=====

Entry 3:
# Li2AcCd2, relaxed, DFT PBE
data_Li2AcCd2
_symmetry_space_group_name_H-M 'P 1 21/m 1'
_symmetry_Int_Tables_number 11
_cell_length_a 5.224
_cell_length_b 5.238
_cell_length_c 9.423
_cell_angle_alpha 90.00
_cell_angle_beta 98.26
_cell_angle_gamma 90.00
loop_
_symmetry_equiv_pos_as_xyz
'x,y,z'
'-x,-y,-z'
'-x,y+1/2,-z'
'x,-y+1/2,z'
loop_
_atom_site_label
_atom_site_type_symbol
_atom_site_fract_x
_atom_site_fract_y
_atom_site_fract_z
Li1 Li 0.155 0.250 0.498
Li2 Li 0.178 0.750 0.861
Ac1 Ac 0.276 0.750 0.239
Cd1 Cd 0.294 0.250 0.008
Cd2 Cd 0.370 0.750 0.606
# energy of formation: -0.20 eV per atom
# ΔE to the lowest computed polymorph: 0.0 meV/atom
# V: 25.52 A^3/atom
# density: 6.061 g cm⁻³

=====

Entry 4:
# LiAcCd3, relaxed, DFT PBE
data_LiAcCd3
_symmetry_space_group_name_H-M 'P 63/m m c'
_symmetry_Int_Tables_number 194
_symmetry_space_group_name_Hall '-P 6c 2c'
_cell_length_a 7.1152
_cell_length_b 7.1152
_cell_length_c 5.8728
_cell_angle_alpha 90.00
_cell_angle_beta 90.00
_cell_angle_gamma 120.00
loop_
_atom_site_label
_atom_site_type_symbol
_atom_site_fract_x
_atom_site_fract_y
_atom_site_fract_z
Li1 Li 0.0000 0.0000 0.0000
Ac1 Ac 0.3333 0.6667 0.2500
Cd1 Cd 0.1870 0.3739 0.7500
# energy of formation: -0.25 eV per atom
# ΔE to the lowest computed polymorph: 0.0 meV/atom
# V: 25.75 A^3/atom
# density: 7.367 g cm⁻³

=====

Entry 5:
# Li4Ac3Cd4, relaxed, DFT PBE
data_Li4Ac3Cd4
_symmetry_space_group_name_H-M 'I m m m'
_symmetry_Int_Tables_number 71
_symmetry_space_group_name_Hall '-I 2 2'
_cell_length_a 5.053
_cell_length_b 7.780
_cell_length_c 15.488
_cell_angle_alpha 90.00
_cell_angle_beta 90.00
_cell_angle_gamma 90.00
loop_
_atom_site_label
_atom_site_type_symbol
_atom_site_fract_x
_atom_site_fract_y
_atom_site_fract_z
Li1 Li 0.000 0.187 0.174
Ac1 Ac 0.000 0.000 0.374
Ac2 Ac 0.000 0.500 0.500
Cd1 Cd 0.000 0.308 0.000
Cd2 Cd 0.000 0.500 0.281
# energy of formation: -0.18 eV per atom
# V: 27.68 A^3/atom
# density: 6.318 g cm⁻³

=====

Entry 6:
# LiAcCd, relaxed, DFT PBE
data_LiAcCd
_symmetry_space_group_name_H-M 'P -6 m 2'
_symmetry_Int_Tables_number 187
_symmetry_space_group_name_Hall 'P -6 2'
_cell_length_a 5.1879
_cell_length_b 5.1879
_cell_length_c 3.7399
_cell_angle_alpha 90.00
_cell_angle_beta 90.00
_cell_angle_gamma 120.00
loop_
_atom_site_label
_atom_site_type_symbol
_atom_site_fract_x
_atom_site_fract_y
_atom_site_fract_z
Li1 Li 0.0000 0.0000 0.0000
Ac1 Ac 0.6667 0.3333 0.5000
Cd1 Cd 0.3333 0.6667 0.0000
# energy of formation: -0.18 eV per atom
# ΔE to the lowest computed polymorph: 12.4 meV/atom
# V: 29.06 A^3/atom
# density: 6.598 g cm⁻³

=====

Entry 7:
# Li8AcCd4, relaxed, DFT PBE
data_Li8AcCd4
_symmetry_space_group_name_H-M 'I 4/m m m'
_symmetry_Int_Tables_number 139
_symmetry_space_group_name_Hall '-I 4 2'
_cell_length_a 9.877
_cell_length_b 9.877
_cell_length_c 5.794
_cell_angle_alpha 90.00
_cell_angle_beta 90.00
_cell_angle_gamma 90.00
loop_
_atom_site_label
_atom_site_type_symbol
_atom_site_fract_x
_atom_site_fract_y
_atom_site_fract_z
Li1 Li 0.000 0.224 0.000
Li2 Li 0.000 0.352 0.500
Ac1 Ac 0.000 0.000 0.500
Cd1 Cd 0.250 0.250 0.250
# energy of formation: -0.17 eV per atom
# V: 21.74 A^3/atom
# density: 4.302 g cm⁻³

=====

Entry 8:
# LiAcCd, relaxed, DFT PBE
data_LiAcCd
_symmetry_space_group_name_H-M 'I m m 2'
_symmetry_Int_Tables_number 44
_cell_length_a 5.185
_cell_length_b 23.101
_cell_length_c 8.648
_cell_angle_alpha 90.00
_cell_angle_beta 90.00
_cell_angle_gamma 90.00
loop_
_symmetry_equiv_pos_as_xyz
'x,y,z'
'-x,-y,z'
'-x,y,z'
'x,-y,z'
'x+1/2,y+1/2,z+1/2'
'-x+1/2,-y+1/2,z+1/2'
'-x+1/2,y+1/2,z+1/2'
'x+1/2,-y+1/2,z+1/2'
loop_
_atom_site_label
_atom_site_type_symbol
_atom_site_fract_x
_atom_site_fract_y
_atom_site_fract_z
Li1 Li 0.000 0.067 0.000
Li2 Li 0.000 0.228 0.669
Li3 Li 0.000 0.395 0.002
Ac1 Ac 0.000 0.000 0.375
Ac2 Ac 0.000 0.166 0.294
Ac3 Ac 0.000 0.332 0.378
Ac4 Ac 0.000 0.500 0.293
Cd1 Cd 0.000 0.098 0.671
Cd2 Cd 0.000 0.266 0.001
Cd3 Cd 0.000 0.433 0.668
# energy of formation: -0.20 eV per atom
# ΔE to the lowest computed polymorph: 0.0 meV/atom
# V: 28.77 A^3/atom
# density: 6.663 g cm⁻³

=====

Entry 9:
# Li6AcCd2, relaxed, DFT PBE
data_Li6AcCd2
_symmetry_space_group_name_H-M 'C 1 2/m 1'
_symmetry_Int_Tables_number 12
_cell_length_a 14.262
_cell_length_b 6.027
_cell_length_c 5.099
_cell_angle_alpha 90.00
_cell_angle_beta 110.88
_cell_angle_gamma 90.00
loop_
_symmetry_equiv_pos_as_xyz
'x,y,z'
'-x,-y,-z'
'-x,y,-z'
'x,-y,z'
'x+1/2,y+1/2,z'
'-x+1/2,-y+1/2,-z'
'-x+1/2,y+1/2,-z'
'x+1/2,-y+1/2,z'
loop_
_atom_site_label
_atom_site_type_symbol
_atom_site_fract_x
_atom_site_fract_y
_atom_site_fract_z
Li1 Li 0.000 0.193 0.000
Li2 Li 0.202 0.241 0.202
Ac1 Ac 0.000 0.500 0.500
Cd1 Cd 0.117 0.000 0.619
# energy of formation: -0.04 eV per atom
# ΔE to the lowest computed polymorph: 68.5 meV/atom
# V: 22.75 A^3/atom
# density: 4.002 g cm⁻³

=====

Entry 10:
# LiAc2Cd6, relaxed, DFT PBE
data_LiAc2Cd6
_symmetry_space_group_name_H-M 'P -3 m 1'
_symmetry_Int_Tables_number 164
_symmetry_space_group_name_Hall '-P 3 2"'
_cell_length_a 6.6329
_cell_length_b 6.6329
_cell_length_c 6.3991
_cell_angle_alpha 90.00
_cell_angle_beta 90.00
_cell_angle_gamma 120.00
loop_
_atom_site_label
_atom_site_type_symbol
_atom_site_fract_x
_atom_site_fract_y
_atom_site_fract_z
Li1 Li 0.0000 0.0000 0.0000
Ac1 Ac 0.3333 0.6667 0.8428
Cd1 Cd 0.1741 0.3482 0.3257
# energy of formation: -0.25 eV per atom
# ΔE to the lowest computed polymorph: 2.9 meV/atom
# V: 27.09 A^3/atom
# density: 7.732 g cm⁻³

=====

Entry 11:
# Li3Ac3Cd8, relaxed, DFT PBE
data_Li3Ac3Cd8
_symmetry_space_group_name_H-M 'I m m m'
_symmetry_Int_Tables_number 71
_symmetry_space_group_name_Hall '-I 2 2'
_cell_length_a 5.099
_cell_length_b 9.745
_cell_length_c 14.833
_cell_angle_alpha 90.00
_cell_angle_beta 90.00
_cell_angle_gamma 90.00
loop_
_atom_site_label
_atom_site_type_symbol
_atom_site_fract_x
_atom_site_fract_y
_atom_site_fract_z
Li1 Li 0.000 0.000 0.000
Li2 Li 0.000 0.322 0.500
Ac1 Ac 0.000 0.500 0.000
Ac2 Ac 0.000 0.500 0.282
Cd1 Cd 0.000 0.150 0.346
Cd2 Cd 0.000 0.199 0.129
# energy of formation: -0.28 eV per atom
# V: 26.32 A^3/atom
# density: 7.215 g cm⁻³

=====

Entry 12:
# Li3AcCd3, relaxed, DFT PBE
data_Li3AcCd3
_symmetry_space_group_name_H-M 'P 1 21/m 1'
_symmetry_Int_Tables_number 11
_cell_length_a 8.715
_cell_length_b 5.300
_cell_length_c 8.765
_cell_angle_alpha 90.00
_cell_angle_beta 119.39
_cell_angle_gamma 90.00
loop_
_symmetry_equiv_pos_as_xyz
'x,y,z'
'-x,-y,-z'
'-x,y+1/2,-z'
'x,-y+1/2,z'
loop_
_atom_site_label
_atom_site_type_symbol
_atom_site_fract_x
_atom_site_fract_y
_atom_site_fract_z
Li1 Li 0.001 0.250 0.228
Li2 Li 0.224 0.750 0.223
Li3 Li 0.225 0.250 0.003
Ac1 Ac 0.333 0.250 0.668
Cd1 Cd 0.085 0.750 0.453
Cd2 Cd 0.368 0.750 0.919
Cd3 Cd 0.450 0.250 0.368
# energy of formation: -0.16 eV per atom
# ΔE to the lowest computed polymorph: 0.0 meV/atom
# V: 25.20 A^3/atom
# density: 5.507 g cm⁻³

=====

Entry 13:
# Li3Ac2Cd, relaxed, DFT PBE
data_Li3Ac2Cd
_symmetry_space_group_name_H-M 'C 1 2/m 1'
_symmetry_Int_Tables_number 12
_cell_length_a 10.586
_cell_length_b 6.245
_cell_length_c 6.157
_cell_angle_alpha 90.00
_cell_angle_beta 124.00
_cell_angle_gamma 90.00
loop_
_symmetry_equiv_pos_as_xyz
'x,y,z'
'-x,-y,-z'
'-x,y,-z'
'x,-y,z'
'x+1/2,y+1/2,z'
'-x+1/2,-y+1/2,-z'
'-x+1/2,y+1/2,-z'
'x+1/2,-y+1/2,z'
loop_
_atom_site_label
_atom_site_type_symbol
_atom_site_fract_x
_atom_site_fract_y
_atom_site_fract_z
Li1 Li 0.000 0.000 0.000
Li2 Li 0.250 0.250 0.500
Ac1 Ac 0.127 0.500 0.871
Cd1 Cd 0.000 0.000 0.500
# energy of formation: -0.05 eV per atom
# V: 28.12 A^3/atom
# density: 5.779 g cm⁻³

=====

Entry 14:
# LiAc2Cd5, relaxed, DFT PBE
data_LiAc2Cd5
_symmetry_space_group_name_H-M 'C m c m'
_symmetry_Int_Tables_number 63
_symmetry_space_group_name_Hall '-C 2c 2'
_cell_length_a 4.922
_cell_length_b 18.054
_cell_length_c 10.159
_cell_angle_alpha 90.00
_cell_angle_beta 90.00
_cell_angle_gamma 90.00
loop_
_atom_site_label
_atom_site_type_symbol
_atom_site_fract_x
_atom_site_fract_y
_atom_site_fract_z
Li1 Li 0.000 0.056 0.250
Ac1 Ac 0.000 0.300 0.750
Ac2 Ac 0.000 0.500 0.000
Cd1 Cd 0.000 0.094 0.750
Cd2 Cd 0.000 0.143 0.029
Cd3 Cd 0.000 0.312 0.105
# energy of formation: -0.24 eV per atom
# ΔE to the lowest computed polymorph: 0.0 meV/atom
# V: 28.21 A^3/atom
# density: 7.527 g cm⁻³

=====

Entry 15:
# Li2AcCd9, relaxed, DFT PBE
data_Li2AcCd9
_symmetry_space_group_name_H-M 'P 6/m m m'
_symmetry_Int_Tables_number 191
_symmetry_space_group_name_Hall '-P 6 2'
_cell_length_a 9.6807
_cell_length_b 9.6807
_cell_length_c 3.4008
_cell_angle_alpha 90.00
_cell_angle_beta 90.00
_cell_angle_gamma 120.00
loop_
_atom_site_label
_atom_site_type_symbol
_atom_site_fract_x
_atom_site_fract_y
_atom_site_fract_z
Li1 Li 0.3333 0.6667 0.0000
Ac1 Ac 0.0000 0.0000 0.0000
Cd1 Cd 0.0000 0.5000 0.0000
Cd2 Cd 0.1873 0.3745 0.5000
# energy of formation: -0.14 eV per atom
# V: 23.00 A^3/atom
# density: 7.536 g cm⁻³

=====

Entry 16:
# LiAc4Cd, relaxed, DFT PBE
data_LiAc4Cd
_symmetry_space_group_name_H-M 'C 1 2 1'
_symmetry_Int_Tables_number 5
_cell_length_a 7.904
_cell_length_b 7.904
_cell_length_c 7.987
_cell_angle_alpha 90.00
_cell_angle_beta 90.05
_cell_angle_gamma 90.00
loop_
_symmetry_equiv_pos_as_xyz
'x,y,z'
'-x,y,-z'
'x+1/2,y+1/2,z'
'-x+1/2,y+1/2,-z'
loop_
_atom_site_label
_atom_site_type_symbol
_atom_site_fract_x
_atom_site_fract_y
_atom_site_fract_z
Li1 Li 0.000 0.000 0.000
Ac1 Ac 0.250 0.250 0.253
Ac2 Ac 0.250 0.250 0.747
Cd1 Cd 0.000 0.500 0.500
# energy of formation: 0.20 eV per atom
# V: 41.58 A^3/atom
# density: 6.838 g cm⁻³

=====

Entry 17:
# LiAc3Cd2, relaxed, DFT PBE
data_LiAc3Cd2
_symmetry_space_group_name_H-M 'C m m m'
_symmetry_Int_Tables_number 65
_symmetry_space_group_name_Hall '-C 2 2'
_cell_length_a 5.716
_cell_length_b 17.145
_cell_length_c 4.131
_cell_angle_alpha 90.00
_cell_angle_beta 90.00
_cell_angle_gamma 90.00
loop_
_atom_site_label
_atom_site_type_symbol
_atom_site_fract_x
_atom_site_fract_y
_atom_site_fract_z
Li1 Li 0.000 0.000 0.000
Ac1 Ac 0.000 0.168 0.500
Ac2 Ac 0.000 0.500 0.500
Cd1 Cd 0.000 0.337 0.000
# energy of formation: -0.19 eV per atom
# ΔE to the lowest computed polymorph: 0.0 meV/atom
# V: 33.74 A^3/atom
# density: 7.488 g cm⁻³

=====

Entry 18:
# Li6AcCd4, relaxed, DFT PBE
data_Li6AcCd4
_symmetry_space_group_name_H-M 'P -6 m 2'
_symmetry_Int_Tables_number 187
_symmetry_space_group_name_Hall 'P -6 2'
_cell_length_a 7.9283
_cell_length_b 7.9283
_cell_length_c 4.5183
_cell_angle_alpha 90.00
_cell_angle_beta 90.00
_cell_angle_gamma 120.00
loop_
_atom_site_label
_atom_site_type_symbol
_atom_site_fract_x
_atom_site_fract_y
_atom_site_fract_z
Li1 Li 0.2028 0.4056 0.0000
Li2 Li 0.2501 0.1250 0.5000
Ac1 Ac 0.6667 0.3333 0.0000
Cd1 Cd 0.0000 0.0000 0.0000
Cd2 Cd 0.0719 0.5360 0.5000
# energy of formation: -0.17 eV per atom
# V: 22.36 A^3/atom
# density: 4.849 g cm⁻³

=====

Entry 19:
# LiAcCd, relaxed, DFT PBE
data_LiAcCd
_symmetry_space_group_name_H-M 'C 1 2/m 1'
_symmetry_Int_Tables_number 12
_cell_length_a 11.348
_cell_length_b 5.176
_cell_length_c 7.944
_cell_angle_alpha 90.00
_cell_angle_beta 131.99
_cell_angle_gamma 90.00
loop_
_symmetry_equiv_pos_as_xyz
'x,y,z'
'-x,-y,-z'
'-x,y,-z'
'x,-y,z'
'x+1/2,y+1/2,z'
'-x+1/2,-y+1/2,-z'
'-x+1/2,y+1/2,-z'
'x+1/2,-y+1/2,z'
loop_
_atom_site_label
_atom_site_type_symbol
_atom_site_fract_x
_atom_site_fract_y
_atom_site_fract_z
Li1 Li 0.161 0.000 0.238
Ac1 Ac 0.051 0.500 0.789
Cd1 Cd 0.179 0.000 0.625
# energy of formation: -0.18 eV per atom
# ΔE to the lowest computed polymorph: 19.7 meV/atom
# V: 28.90 A^3/atom
# density: 6.634 g cm⁻³

=====

Entry 20:
# LiAc2Cd3, relaxed, DFT PBE
data_LiAc2Cd3
_symmetry_space_group_name_H-M 'P m m 2'
_symmetry_Int_Tables_number 25
_cell_length_a 3.749
_cell_length_b 5.211
_cell_length_c 9.028
_cell_angle_alpha 90.00
_cell_angle_beta 90.00
_cell_angle_gamma 90.00
loop_
_symmetry_equiv_pos_as_xyz
'x,y,z'
'-x,-y,z'
'-x,y,z'
'x,-y,z'
loop_
_atom_site_label
_atom_site_type_symbol
_atom_site_fract_x
_atom_site_fract_y
_atom_site_fract_z
Li1 Li 0.000 0.000 0.000
Ac1 Ac 0.500 0.000 0.664
Ac2 Ac 0.500 0.500 0.172
Cd1 Cd 0.000 0.000 0.326
Cd2 Cd 0.000 0.500 0.504
Cd3 Cd 0.000 0.500 0.842
# energy of formation: -0.26 eV per atom
# ΔE to the lowest computed polymorph: 6.5 meV/atom
# V: 29.40 A^3/atom
# density: 7.515 g cm⁻³